No. 1
Density functional theory data (GGA-PBE) for CrReSe after structural relaxation.

```
CrReSe
1.0
4.1011 0.0000 0.0000
-2.0505 3.5516 0.0000
0.0000 0.0000 2.9129
Cr Re Se
1 1 1
Direct
0.0000 0.0000 0.0000
0.6667 0.3333 0.5000
0.3333 0.6667 0.0000
```

Summary:
Uncorrected formation energy ... 443 meV per atom
D(E_F) ... 3.3 states/eV per cell
Theoretical density ... 12.4 g/cm3
Space-group type ... P-6m2
Excess energy over the best structure of this formula in the dataset ... 1.451 eV per formula unit
Uncorrected energy ... -24.228 eV/cell



No. 2
Density functional theory data (GGA-PBE) for CrReSe2 after structural relaxation.

```
CrReSe2
1.0
2.9529 0.0000 0.0000
0.0000 2.9529 0.0000
0.0000 0.0000 8.1616
Cr Re Se
1 1 2
Direct
0.0000 0.0000 0.0000
0.5000 0.5000 0.2254
0.0000 0.0000 0.4080
0.5000 0.5000 0.8354
```

Summary:
Uncorrected formation energy ... 11 meV per atom
D(E_F) ... 2.6 states/eV per cell
Theoretical density ... 9.2 g/cm3
Space-group type ... P4mm
Excess energy over the best structure of this formula in the dataset ... 0.409 eV per formula unit
Uncorrected energy ... -28.996 eV/cell